No. 1
Here is a relaxed structure of Y2Zn3Ni12Ir from Alexandria. Energies are from GGA-PBE.

Unit cell a=11.8596 b=11.8596 c=11.8596 alpha=24.89 beta=24.89 gamma=24.89
Sites, in units of the cell vectors:
Ni 0.3976 0.3976 0.8691
Ni 0.3976 0.8691 0.3976
Ni 0.8691 0.3976 0.3976
Ni 0.1078 0.6099 0.1078
Ni 0.3901 0.8922 0.8922
Ni 0.8922 0.3901 0.8922
Ni 0.8922 0.8922 0.3901
Ni 0.6024 0.6024 0.1309
Ni 0.1078 0.1078 0.6099
Ni 0.6024 0.1309 0.6024
Ni 0.1309 0.6024 0.6024
Ni 0.6099 0.1078 0.1078
Zn 0.0000 0.0000 0.5000
Zn 0.5000 0.0000 0.0000
Zn 0.0000 0.5000 0.0000
Y 0.6424 0.6424 0.6424
Y 0.3576 0.3576 0.3576
Ir 0.0000 0.0000 0.0000

Properties
Space-group type: No. 166
Size of the total moment (μB/cell): 0.00
Energy relative to the elements (eV per atom): 0.0083

No. 2
Here is a relaxed structure of Zn6Ni2Ir from Alexandria. Energies are from GGA-PBE.

Unit cell a=4.2035 b=4.2030 c=7.9122 alpha=90.01 beta=90.00 gamma=120.00
Sites, in units of the cell vectors:
Ir 0.0000 0.0000 0.5000
Zn 0.3333 0.6667 0.0552
Zn 0.0000 0.0000 0.8212
Zn 0.3333 0.6667 0.3913
Zn 0.0000 0.0000 0.1788
Zn 0.6667 0.3333 0.6087
Zn 0.6667 0.3333 0.9448
Ni 0.3333 0.6667 0.7274
Ni 0.6667 0.3333 0.2726

Properties
Space-group type: No. 164
Size of the total moment (μB/cell): 0.00
Energy relative to the elements (eV per atom): -0.1320

No. 3
Here is a relaxed structure of Zn4Ni7Ir from Alexandria. Energies are from GGA-PBE.

Unit cell a=5.1052 b=7.6895 c=4.4751 alpha=74.44 beta=90.18 gamma=59.74
Sites, in units of the cell vectors:
Ni 0.2549 0.6657 0.8331
Ni 0.5000 0.0000 0.0000
Ni 0.7565 0.9976 0.4962
Ni 0.2435 0.0024 0.5038
Ni 0.7451 0.3343 0.1669
Ni 0.0027 0.6665 0.3313
Ni 0.9973 0.3335 0.6687
Zn 0.7561 0.6719 0.8249
Zn 0.4955 0.3337 0.6668
Zn 0.2439 0.3281 0.1751
Zn 0.5045 0.6663 0.3332
Ir 0.0000 0.0000 0.0000

Properties
Space-group type: No. 2
Size of the total moment (μB/cell): 0.00
Energy relative to the elements (eV per atom): -0.1426

No. 4
Here is a relaxed structure of Zn2NiIr2 from Alexandria. Energies are from GGA-PBE.

Unit cell a=6.2559 b=6.2559 c=3.8852 alpha=90.00 beta=90.00 gamma=90.00
Last column: magnetic moment on the atom in μB.
Sites, in units of the cell vectors:
Zn 0.8330 0.3330 0.5000  0.00
Zn 0.6670 0.8330 0.5000  0.00
Zn 0.1670 0.6670 0.5000  0.00
Zn 0.3330 0.1670 0.5000  0.00
Ir 0.3609 0.8609 0.0000  0.11
Ir 0.6391 0.1391 0.0000  0.11
Ir 0.1391 0.3609 0.0000  0.09
Ir 0.8609 0.6391 0.0000  0.09
Ni 0.5000 0.5000 0.0000  0.45
Ni 0.0000 0.0000 0.0000  0.45

Properties
Space-group type: No. 127
Size of the total moment (μB/cell): 1.28
Energy relative to the elements (eV per atom): 0.1022

No. 5
Here is a relaxed structure of Zn3Ni6Ir from Alexandria. Energies are from GGA-PBE.

Unit cell a=3.7027 b=7.9259 c=8.1578 alpha=92.48 beta=90.00 gamma=90.00
Sites, in units of the cell vectors:
Ir 0.2500 0.9494 0.6025
Ir 0.7500 0.0506 0.3975
Zn 0.7500 0.4516 0.6017
Zn 0.2500 0.5484 0.3983
Zn 0.7500 0.2480 0.0083
Zn 0.7500 0.6480 0.1951
Zn 0.2500 0.3520 0.8049
Zn 0.2500 0.7520 0.9917
Ni 0.2500 0.8476 0.2944
Ni 0.2500 0.4485 0.1025
Ni 0.2500 0.6517 0.6985
Ni 0.2500 0.1496 0.2018
Ni 0.7500 0.9508 0.0991
Ni 0.7500 0.8504 0.7982
Ni 0.7500 0.3483 0.3015
Ni 0.2500 0.0492 0.9009
Ni 0.7500 0.5515 0.8975
Ni 0.7500 0.7467 0.4974
Ni 0.2500 0.2533 0.5026
Ni 0.7500 0.1524 0.7056

Properties
Space-group type: No. 11
Size of the total moment (μB/cell): 0.00
Energy relative to the elements (eV per atom): -0.1448

No. 6
Here is a relaxed structure of Zn6Ni5Ir from Alexandria. Energies are from GGA-PBE.

Unit cell a=4.0693 b=6.0217 c=6.4382 alpha=90.00 beta=71.58 gamma=90.00
Sites, in units of the cell vectors:
Zn 0.1699 0.2529 0.6602
Zn 0.5000 0.7384 0.0000
Zn 0.8301 0.7471 0.3398
Zn 0.8301 0.2529 0.3398
Zn 0.5000 0.2616 0.0000
Zn 0.1699 0.7471 0.6602
Ni 0.3314 0.5000 0.3373
Ni 0.6686 0.5000 0.6627
Ni 0.0000 0.5000 0.0000
Ni 0.3343 0.0000 0.3313
Ni 0.6657 0.0000 0.6687
Ir 0.0000 0.0000 0.0000

Properties
Space-group type: No. 65
Size of the total moment (μB/cell): 0.00
Energy relative to the elements (eV per atom): -0.2320